Material: Y3FeI
Method: DFT, SCAN
State: single point on PBEsol structure

Calculated values
Energy ... -27.023 eV per atom

Unit cell a=5.480 b=5.480 c=5.480 alpha=90.00 beta=90.00 gamma=90.00
Space group Pm-3m (No. 221)
Unique sites:
Y: 0.000 0.000 0.500 x3
Fe: 0.500 0.500 0.500 x1
I: 0.000 0.000 0.000 x1